[1]
# LaPdSe2Br

LaPdSe2Br after structural relaxation (PBEsol, Alexandria via LeMat-Bulk).

a = 5.679 Å, b = 5.679 Å, c = 5.650 Å
α = 90.00°, β = 90.00°, γ = 90.00°
Fractional coordinates of all 5 atoms:
La: 0.000 0.000 0.000
Pd: 0.500 0.500 0.500
Se: 0.000 0.500 0.000
Se: 0.500 0.000 0.000
Br: 0.000 0.000 0.500

Properties
As for the symmetry: P4/mmm, No. 123. Its crystal system is tetragonal. The energy relative to the elements, uncorrected comes out at -0.0279 eV/atom.


[2]
# LaPt3Br

LaPt3Br after structural relaxation (PBEsol, Alexandria via LeMat-Bulk).

a = 4.797 Å, b = 4.797 Å, c = 4.797 Å
α = 90.00°, β = 90.00°, γ = 90.00°
Fractional coordinates of all 5 atoms:
La: 0.000 0.000 0.000
Pt: 0.000 0.500 0.500
Pt: 0.500 0.000 0.500
Pt: 0.500 0.500 0.000
Br: 0.500 0.500 0.500

Properties
As for the symmetry: Pm-3m, No. 221. Its crystal system is cubic. The energy relative to the elements, uncorrected comes out at 0.2194 eV/atom.